1.
A plane-wave DFT calculation with PBE-GGA was carried out for CrSnRu2 after structural relaxation.

Unit cell a=3.130 b=3.130 c=6.184 alpha=90.00 beta=90.00 gamma=90.00
Last column: magnetic moment on the atom in μB.
Fractional positions:
Ru 0.000 0.000 0.765  -0.10
Ru 0.000 0.000 0.235  -0.10
Sn 0.500 0.500 0.500  0.01
Cr 0.500 0.500 0.000  2.27

Values from the calculation:
The energy of formation from the pure elements comes out at 0.051 eV per atom.

2.
A plane-wave DFT calculation with PBE-GGA was carried out for CrSn2Ru after structural relaxation.

Unit cell a=7.352 b=7.352 c=6.005 alpha=52.25 beta=52.25 gamma=90.00
Last column: magnetic moment on the atom in μB.
Fractional positions:
Ru 0.000 0.000 0.000  0.26
Ru 0.750 0.250 0.500  0.25
Sn 0.639 0.125 0.250  -0.08
Sn 0.111 0.625 0.250  -0.08
Sn 0.375 0.361 0.750  -0.08
Sn 0.875 0.889 0.750  -0.09
Cr 0.500 0.500 0.000  3.35
Cr 0.250 0.750 0.500  3.36

Values from the calculation:
The energy of formation from the pure elements comes out at 0.536 eV per atom. The energy above the most stable polymorph in this dataset comes out at 0.3713 eV per atom.

3.
A plane-wave DFT calculation with PBE-GGA was carried out for CrSnRu after structural relaxation.

Unit cell a=14.679 b=3.173 c=4.269 alpha=90.00 beta=90.00 gamma=90.00
Last column: magnetic moment on the atom in μB.
Fractional positions:
Ru 0.863 0.000 0.392  0.09
Ru 0.137 0.000 0.392  0.09
Ru 0.363 0.500 0.892  0.09
Ru 0.637 0.500 0.892  0.09
Sn 0.670 0.000 0.392  -0.01
Sn 0.330 0.000 0.392  -0.01
Sn 0.170 0.500 0.892  -0.01
Sn 0.830 0.500 0.892  -0.01
Cr 0.000 0.500 0.349  -2.14
Cr 0.500 0.000 0.849  -2.14
Cr 0.000 0.000 0.877  2.77
Cr 0.500 0.500 0.377  2.77

Values from the calculation:
The energy of formation from the pure elements comes out at 0.119 eV per atom.

Number 1: total moment 2.182 μB/f.u.. Number 2: total moment 3.704 μB/f.u.. Number 3: total moment 0.460 μB/f.u..